No. 1
Entry from Alexandria: a relaxed KLuAu2 crystal (PBE).

Results
* DFT formation energy: -0.45 eV/atom
* final energy: -3.49 eV/atom
* density of states at the Fermi level: 0.83 states/eV/atom

```
4
Lattice="2.044 1.180 8.224 -2.044 1.180 8.224 0.000 -2.360 8.224" Properties=species:S:1:pos:R:3 pbc="T T T"
K 0.000 0.000 0.000
Lu 0.000 0.000 12.335
Au 0.000 0.000 5.723
Au 0.000 0.000 18.948
```

***

No. 2
Entry from Alexandria: a relaxed KLuAu2 crystal (PBE).

Results
* DFT formation energy: -0.60 eV/atom
* final energy: -3.64 eV/atom
* density of states at the Fermi level: 0.58 states/eV/atom

```
4
Lattice="3.613 0.000 0.000 0.000 3.613 0.000 0.000 0.000 8.107" Properties=species:S:1:pos:R:3 pbc="T T T"
K 0.000 0.000 0.000
Lu 0.000 0.000 4.054
Au 1.806 1.806 2.546
Au 1.806 1.806 5.561
```

***

No. 3
Entry from Alexandria: a relaxed KMg2Au2 crystal (PBE).

Results
* DFT formation energy: -0.40 eV/atom
* final energy: -2.57 eV/atom
* density of states at the Fermi level: 0.38 states/eV/atom

```
5
Lattice="-2.285 2.285 5.993 2.285 -2.285 5.993 2.285 2.285 -5.993" Properties=species:S:1:pos:R:3 pbc="T T T"
K 0.000 0.000 0.000
Mg 2.285 0.000 2.997
Mg 0.000 2.285 2.997
Au 0.000 0.000 4.571
Au 0.000 0.000 7.416
```